(a)
This record from the Open Quantum Materials Database describes a geometry-optimized SmBeCo structure. The functional is GGA-PBE.

abc: 4.230 4.230 4.230
angles: 60.00 60.00 60.00
Each line ends with the local moment (μB).
Element x y z (fractional)
1 Sm 0.750 0.750 0.750  -0.02
2 Co 0.250 0.250 0.250  0.36
3 Be 0.000 0.000 0.000  -0.02

Calculated values
Total moment, μB/f.u.: 0.29

(b)
This record from the Open Quantum Materials Database describes a geometry-optimized SmBeCo structure. The functional is GGA-PBE.

abc: 4.410 4.410 4.410
angles: 60.00 60.00 60.00
Element x y z (fractional)
1 Sm 0.000 0.000 0.000
2 Be 0.250 0.250 0.250
3 Co 0.750 0.750 0.750

Calculated values
Total moment, μB/f.u.: 0.00

(a) wins, 626 meV per atom ahead of the next structure.